This record from the Alexandria database describes a geometry-optimized CsLa2GePd structure. The functional is GGA-PBE.

Computed properties:
E_form, eV/atom: 0.30
Space-group type: P4/mmm
Crystal system: tetragonal

Cell lengths 5.742, 6.665, 5.742 Å; angles 90.00, 90.00, 90.00 degrees
Fractional positions:
Cs 0.000 0.500 0.000
Ge 0.000 0.000 0.000
Pd 0.500 0.500 0.500
La 0.000 0.000 0.500
La 0.500 0.000 0.000



This record from the Alexandria database describes a geometry-optimized CsLaGeSb2 structure. The functional is GGA-PBE.

Computed properties:
Formation energy from raw total energies, meV per atom: 923.2
Space-group type: P4/mmm
Crystal system: tetragonal

Cell lengths 5.980, 5.431, 5.980 Å; angles 90.00, 90.00, 90.00 degrees
Fractional positions:
Cs 0.000 0.000 0.000
Sb 0.000 0.000 0.500
Sb 0.500 0.000 0.000
Ge 0.000 0.500 0.000
La 0.500 0.500 0.500



This record from the Alexandria database describes a geometry-optimized Cs4La3GeSe8 structure. The functional is GGA-PBE.

Computed properties:
Formation energy from raw total energies, meV per atom: -1449.9
Space-group type: R-3m
Crystal system: trigonal

Cell lengths 8.839, 9.807, 8.839 Å; angles 116.79, 120.00, 90.00 degrees
Fractional positions:
Cs 0.500 0.000 0.000
Cs 0.500 0.000 0.500
Cs 0.000 0.000 0.000
Cs 0.000 0.000 0.500
La 0.500 0.500 0.000
La 0.500 0.500 0.500
La 0.000 0.500 0.500
Ge 0.000 0.500 0.000
Se 0.218 0.684 0.965
Se 0.218 0.684 0.437
Se 0.269 0.307 0.538
Se 0.747 0.684 0.965
Se 0.253 0.316 0.035
Se 0.731 0.693 0.462
Se 0.782 0.316 0.563
Se 0.782 0.316 0.035



This record from the Alexandria database describes a geometry-optimized Cs2LaGe2Se6 structure. The functional is GGA-PBE.

Computed properties:
Formation energy from raw total energies, meV per atom: -865.0
Space-group type: C2/m
Crystal system: monoclinic

Cell lengths 7.738, 7.739, 9.429 Å; angles 114.18, 90.00, 119.99 degrees
Fractional positions:
Cs 0.719 0.437 0.157
Cs 0.281 0.563 0.843
La 0.500 0.000 0.500
Ge 0.899 0.799 0.697
Ge 0.101 0.201 0.303
Se 0.745 0.490 0.749
Se 0.254 0.993 0.249
Se 0.261 0.007 0.751
Se 0.746 0.007 0.751
Se 0.739 0.993 0.249
Se 0.255 0.510 0.251



This record from the Alexandria database describes a geometry-optimized Cs2LaGeSe4 structure. The functional is GGA-PBE.

Computed properties:
Formation energy from raw total energies, meV per atom: -1111.4
Space-group type: P1
Crystal system: triclinic

Cell lengths 9.252, 9.867, 8.950 Å; angles 116.92, 118.95, 92.01 degrees
Fractional positions:
Cs 0.493 0.006 0.994
Cs 0.494 0.005 0.505
Cs 0.989 0.021 0.503
Cs 0.496 0.504 0.000
La 0.001 0.506 0.020
La 0.001 0.506 0.487
Ge 0.553 0.479 0.516
Ge 0.965 0.858 0.911
Se 0.192 0.709 0.950
Se 0.763 0.315 0.539
Se 0.182 0.730 0.456
Se 0.794 0.296 0.045
Se 0.761 0.709 0.941
Se 0.761 0.709 0.529
Se 0.277 0.324 0.470
Se 0.277 0.324 0.131



This record from the Alexandria database describes a geometry-optimized Cs2LiGe structure. The functional is GGA-PBE.

Computed properties:
E_form, eV/atom: 0.47
Space-group type: I-42d
Crystal system: tetragonal
Excess energy over the best structure of this formula in the dataset, eV/atom: 0.127

Cell lengths 13.071, 13.071, 13.071 Å; angles 156.75, 156.75, 33.11 degrees
Fractional positions:
Cs 0.625 0.125 0.000
Cs 0.125 0.625 0.000
Cs 0.875 0.875 0.500
Cs 0.375 0.375 0.500
Li 0.250 0.750 0.500
Li 0.500 0.500 0.000
Ge 0.750 0.250 0.500
Ge 0.000 0.000 0.000



Number 1: total DFT energy (no corrections) -3.80 eV/atom. Number 2: total DFT energy (no corrections) -2.81 eV/atom. Number 3: total DFT energy (no corrections) -4.62 eV/atom. Number 4: total DFT energy (no corrections) -4.21 eV/atom. Number 5: total DFT energy (no corrections) -4.26 eV/atom. Number 6: total DFT energy (no corrections) -1.59 eV/atom.